[1]
The following is a DFT calculation (PBE) of crystalline Ce2Tl8Ag at its relaxed geometry.

**Space group**: P4/mmm, No. 123
**Energy of formation from the pure elements**: -0.14 eV per atom

```
11
Lattice="-1.509 2.966 3.636 -2.664 -3.686 1.901 9.909 -3.547 7.005" Properties=species:S:1:pos:R:3 pbc="T T T"
Tl 4.200 -0.290 5.321
Ag 0.000 0.000 0.000
Tl -0.024 -2.311 1.875
Tl 0.553 1.015 2.743
Ce 3.086 -1.105 2.182
Tl 3.623 -3.616 4.453
Tl 7.847 -1.596 7.899
Ce 6.823 -2.442 4.823
Tl 1.032 -1.476 4.973
Tl 7.269 -4.922 7.031
Tl 4.705 -2.791 7.570
```

=====

[2]
The following is a DFT calculation (PBE) of crystalline Ce2TlAg3 at its relaxed geometry.

**Space group**: Imm2, No. 44
**ΔE to the lowest computed polymorph**: 80 kJ/mol of formula units
**Energy of formation from the pure elements**: -0.05 eV per atom

```
6
Lattice="-2.194 1.403 2.256 1.976 -2.621 3.552 6.103 7.348 -1.266" Properties=species:S:1:pos:R:3 pbc="T T T"
Ce 3.385 5.741 2.353
Tl 6.538 4.929 3.293
Ag 4.653 2.810 2.778
Ag 0.385 -0.054 3.039
Ce 1.497 1.683 0.409
Ag 2.186 1.971 3.531
```

=====

> Among the records above, which one has the highest energy of formation from the pure elements?

Ce2TlAg3

=====

Please write out number 1 again, unchanged.
The following is a DFT calculation (PBE) of crystalline Ce2Tl8Ag at its relaxed geometry.

**Space group**: P4/mmm, No. 123
**Energy of formation from the pure elements**: -0.14 eV per atom

```
11
Lattice="-1.509 2.966 3.636 -2.664 -3.686 1.901 9.909 -3.547 7.005" Properties=species:S:1:pos:R:3 pbc="T T T"
Tl 4.200 -0.290 5.321
Ag 0.000 0.000 0.000
Tl -0.024 -2.311 1.875
Tl 0.553 1.015 2.743
Ce 3.086 -1.105 2.182
Tl 3.623 -3.616 4.453
Tl 7.847 -1.596 7.899
Ce 6.823 -2.442 4.823
Tl 1.032 -1.476 4.973
Tl 7.269 -4.922 7.031
Tl 4.705 -2.791 7.570
```

=====

> The lowest energy of formation from the pure elements belongs to which entry?

Ce2Tl8Ag

=====

> What is the energy of formation from the pure elements in the first record?

-0.14 eV per atom